{"formula": "LiTlI2", "functional": "PBE", "state": "optimized geometry", "e_form_raw_ev_per_atom": -0.923, "relative_energy_ev_per_atom": 0.0000, "space_group": "P2_12_12_1, No. 19", "lattice": [[-3.312, 2.971, -1.024], [1.283, -1.273, -7.840], [-11.436, -12.687, 0.190]], "species": ["Li", "Li", "Li", "Li", "Tl", "Tl", "Tl", "Tl", "I", "I", "I", "I", "I", "I", "I", "I"], "frac_coords": [[0.001, 0.638, 0.056], [0.999, 0.138, 0.444], [0.501, 0.862, 0.944], [0.499, 0.362, 0.556], [0.000, 0.792, 0.663], [0.500, 0.708, 0.337], [0.000, 0.292, 0.837], [0.500, 0.208, 0.163], [0.500, 0.480, 0.705], [0.000, 0.020, 0.295], [0.500, 0.980, 0.795], [0.000, 0.520, 0.205], [0.499, 0.021, 0.523], [0.001, 0.979, 0.023], [0.501, 0.521, 0.977], [0.999, 0.479, 0.477]]}

{"formula": "Y2GaRh", "functional": "PBE", "state": "optimized geometry", "space_group": "I-42d, No. 122", "formation_energy_ev_per_atom": -0.29, "lattice": [[7.689, 0.000, 0.000], [0.000, 7.689, 0.000], [3.845, 3.845, 3.267]], "species": ["Y", "Y", "Y", "Y", "Rh", "Rh", "Ga", "Ga"], "frac_coords": [[0.659, 0.125, 0.250], [0.091, 0.625, 0.250], [0.375, 0.341, 0.750], [0.875, 0.909, 0.750], [0.000, 0.000, 0.000], [0.750, 0.250, 0.500], [0.500, 0.500, 0.000], [0.250, 0.750, 0.500]]}

{"formula": "ScNiBr2", "functional": "PBE", "state": "optimized geometry", "e_form_raw_ev_per_atom": -0.774, "relative_energy_ev_per_atom": 0.0000, "space_group": "R3m, No. 160", "lattice": [[-6.465, 2.695, -3.872], [-3.914, 1.973, -6.696], [-6.015, -0.916, -5.199]], "species": ["Br", "Br", "Ni", "Sc"], "frac_coords": [[0.031, 0.031, 0.031], [0.200, 0.200, 0.200], [0.498, 0.498, 0.498], [0.771, 0.771, 0.771]]}

{"formula": "AlTe2Br", "functional": "PBE", "state": "optimized geometry", "e_form_raw_ev_per_atom": -0.377, "relative_energy_ev_per_atom": 0.0000, "space_group": "P2/m, No. 10", "lattice": [[-2.237, 2.313, 2.507], [-2.789, -4.626, 1.778], [1.469, -4.207, 5.191]], "species": ["Te", "Te", "Al", "Br"], "frac_coords": [[0.000, 0.064, 0.094], [0.000, 0.436, 0.406], [0.500, 0.250, 0.250], [0.500, 0.750, 0.750]]}

{"formula": "HoHfZn", "functional": "PBE", "state": "optimized geometry", "relative_energy_ev_per_atom": 0.0000, "space_group": "I4mm, No. 107", "formation_energy_ev_per_atom": -0.13, "lattice": [[-2.950, -0.985, 1.135], [0.175, -2.709, -1.896], [4.118, -1.134, 4.892]], "species": ["Zn", "Hf", "Ho"], "frac_coords": [[0.677, 0.677, 0.354], [0.318, 0.318, 0.635], [0.005, 0.005, 0.011]]}

{"formula": "Pm2Ga4Cu3Pt", "functional": "PBE", "state": "optimized geometry", "space_group": "P-4m2, No. 115", "formation_energy_ev_per_atom": -0.57, "lattice": [[-0.593, -4.147, -0.426], [4.166, -0.603, 0.073], [-0.325, -1.002, 10.211]], "species": ["Pm", "Pm", "Ga", "Ga", "Ga", "Ga", "Cu", "Cu", "Cu", "Pt"], "frac_coords": [[0.500, 0.000, 0.248], [0.000, 0.500, 0.752], [0.500, 0.500, 0.000], [0.000, 0.000, 0.000], [0.500, 0.000, 0.635], [0.000, 0.500, 0.365], [0.000, 0.000, 0.500], [0.500, 0.000, 0.870], [0.000, 0.500, 0.130], [0.500, 0.500, 0.500]]}

Calculated values (eV per cell) of electronic total energy for the records, taken in order: -44.29, -48.92, -18.56, -13.21, -16.18, -45.64.